This record from Alexandria via LeMat-Bulk describes a relaxed structure of K5RbI7. The functional is PBE-GGA.

```
26
Lattice="8.670 -2.568 0.000 8.670 2.568 0.000 -0.099 0.000 28.699" Properties=species:S:1:pos:R:3 pbc="T T T"
K 0.000 0.000 0.000
K -0.044 0.000 14.324
K 4.662 0.000 26.615
K 4.720 0.000 16.406
K 8.136 0.000 10.112
K 8.167 0.000 4.211
K 9.079 0.000 24.478
K 9.116 0.000 18.549
K 12.529 0.000 12.241
K 12.576 0.000 2.089
Rb 3.375 0.000 7.133
Rb 13.889 0.000 21.560
I 1.664 0.000 11.265
I 1.707 0.000 3.068
I 2.798 0.000 23.157
I 2.825 0.000 19.907
I 6.299 0.000 1.183
I 6.253 0.000 13.131
I 7.604 0.000 21.507
I 9.663 0.000 7.167
I 10.938 0.000 27.517
I 10.993 0.000 15.518
I 14.434 0.000 8.774
I 14.454 0.000 5.523
I 15.535 0.000 25.628
I 15.590 0.000 17.382
```

Output
Space group: Cm, No. 8
E in eV per atom: -2.635
Magnetic moment in μB per formula unit: 1.13



This record from Alexandria via LeMat-Bulk describes a relaxed structure of NbWSe4. The functional is PBE-GGA.

```
6
Lattice="7.037 -1.693 0.000 7.037 1.693 0.000 -0.840 0.000 5.807" Properties=species:S:1:pos:R:3 pbc="T T T"
Nb 0.000 0.000 0.000
W 6.617 0.000 2.904
Se 1.384 0.000 2.209
Se 5.194 0.000 0.749
Se 8.041 0.000 5.058
Se 11.851 0.000 3.598
```

Output
ΔE to the lowest computed polymorph in meV/atom: 121
Space group: C2/m, No. 12
E in eV per atom: -6.735
Magnetic moment in μB per formula unit: 0.00



This record from Alexandria via LeMat-Bulk describes a relaxed structure of HfOsC. The functional is PBE-GGA.

```
9
Lattice="2.830 1.634 4.824 -2.830 1.634 4.824 0.000 -3.268 4.824" Properties=species:S:1:pos:R:3 pbc="T T T"
Hf -0.955 -1.575 4.824
Hf -0.886 1.615 4.824
Hf 1.842 -0.040 4.824
Os -1.625 -0.451 7.320
Os 1.203 -1.182 7.319
Os 0.423 1.633 7.319
C 0.000 0.000 6.110
C 0.000 0.000 10.905
C 0.000 0.000 13.420
```

Output
Formation enthalpy at 0 K in meV/atom: -79
Space group: R3, No. 146
E in eV per atom: -10.215
Magnetic moment in μB per formula unit: 0.00



This record from Alexandria via LeMat-Bulk describes a relaxed structure of Rb2MnNi. The functional is PBE-GGA.

```
8
Lattice="-6.358 6.358 2.328 6.358 -6.358 2.328 6.358 6.358 -2.328" Properties=species:S:1:pos:R:3 pbc="T T T"
Rb -0.878 3.179 0.582
Rb 3.179 5.479 1.746
Rb 0.878 9.537 0.582
Rb -3.179 7.236 1.746
Mn 6.358 0.000 1.164
Mn 0.000 0.000 2.328
Ni 0.000 0.000 0.000
Ni 0.000 6.358 1.164
```

Output
Formation enthalpy at 0 K in meV/atom: 748
ΔE to the lowest computed polymorph in meV/atom: 0
Space group: I-42d, No. 122
E in eV per atom: -3.474
Magnetic moment in μB per formula unit: 4.91



This record from Alexandria via LeMat-Bulk describes a relaxed structure of UHSe3. The functional is PBE-GGA.

```
20
Lattice="9.856 0.000 0.000 0.000 5.518 0.000 -5.749 0.000 9.087" Properties=species:S:1:pos:R:3 pbc="T T T"
U 1.443 1.358 0.916
U -1.432 1.401 5.460
U 5.539 4.117 3.627
U 2.664 4.161 8.171
H -0.783 3.912 7.959
H 2.091 4.366 3.415
H 2.016 1.153 5.672
H 4.890 1.607 1.128
Se 0.937 4.128 0.562
Se -1.937 4.150 5.106
Se -2.930 1.060 7.692
Se -0.055 1.699 3.148
Se 0.119 2.783 7.575
Se 2.993 5.494 3.032
Se 1.114 0.024 6.055
Se 3.988 2.735 1.512
Se 4.162 3.819 5.939
Se 7.037 4.458 1.395
Se 6.044 1.369 3.981
Se 3.170 1.391 8.525
```

Output
Space group: P2_1/c, No. 14
E in eV per atom: -5.626
Magnetic moment in μB per formula unit: 1.00



This record from Alexandria via LeMat-Bulk describes a relaxed structure of Ca2FeTc. The functional is PBE-GGA.

```
4
Lattice="-2.095 2.106 4.611 2.095 -2.106 4.611 2.095 2.106 -4.611" Properties=species:S:1:pos:R:3 pbc="T T T"
Ca 0.000 0.000 2.310
Ca 0.000 0.000 6.911
Fe 0.000 2.106 0.000
Tc 2.095 0.000 0.000
```

Output
Formation enthalpy at 0 K in meV/atom: 766
ΔE to the lowest computed polymorph in meV/atom: 420
Space group: Immm, No. 71
E in eV per atom: -4.941
Magnetic moment in μB per formula unit: 3.13



This record from Alexandria via LeMat-Bulk describes a relaxed structure of Y2CdRh. The functional is PBE-GGA.

```
4
Lattice="-2.160 2.160 4.884 2.160 -2.160 4.884 2.160 2.160 -4.884" Properties=species:S:1:pos:R:3 pbc="T T T"
Y 0.000 0.000 0.000
Y 0.000 2.160 2.442
Cd 2.160 0.000 2.442
Rh 0.000 0.000 4.884
```

Output
Formation enthalpy at 0 K in meV/atom: -333
Space group: I-4m2, No. 119
E in eV per atom: -5.631
Magnetic moment in μB per formula unit: 0.00



This record from Alexandria via LeMat-Bulk describes a relaxed structure of Sc3NbF. The functional is PBE-GGA.

```
5
Lattice="4.510 0.000 0.000 0.000 4.510 0.000 0.000 0.000 4.510" Properties=species:S:1:pos:R:3 pbc="T T T"
Sc 0.000 0.000 2.255
Sc 0.000 2.255 0.000
Sc 2.255 0.000 0.000
Nb 2.255 2.255 2.255
F 0.000 0.000 0.000
```

Output
ΔE to the lowest computed polymorph in meV/atom: 0
Space group: Pm-3m, No. 221
E in eV per atom: -7.000
Magnetic moment in μB per formula unit: 0.00